[1]
## LiHo3S4 (PBE-GGA)

Data for a relaxed LiHo3S4 crystal.

* calculated density: 5410 kg/m³
* E: -5.771 eV/atom
* energy above the lowest structure with this stoichiometry: 1.63 eV per formula unit

a b c (Å): 8.8954 7.9864 5.4440
angles (deg): 90.00 90.00 90.00
Last column: nearest neighbours and their distance in Å.
Space group Pmn2_1 (No. 31)
Unique sites:
Li 0.0000 0.1293 0.0000  5 S 2.51-2.73
Ho 0.0000 0.7855 0.4985  5 S 2.66-2.73
Ho 0.2266 0.3390 0.4985  5 S 2.68-2.72
S 0.0000 0.1181 0.4985  3 Ho 2.66-2.68, 2 Li 2.72-2.73
S 0.0000 0.8026 0.9985  1 Li 2.61, 4 Ho 2.68-2.73
S 0.2169 0.3310 0.9985  1 Li 2.51, 4 Ho 2.68-2.72



[2]
## La3Nd2PaN6 (PBE-GGA)

Data for a relaxed La3Nd2PaN6 crystal.

* calculated density: 8105 kg/m³
* E: -8.451 eV/atom

a b c (Å): 6.3385 10.9663 6.3736
angles (deg): 90.00 109.33 90.00
Last column: nearest neighbours and their distance in Å.
Space group C2/m (No. 12)
Unique sites:
La 0.0000 0.0000 0.0000  6 N 2.61-2.79
La 0.0000 0.3330 0.0000  6 N 2.60-2.81
Nd 0.0000 0.1664 0.5000  6 N 2.60
Pa 0.0000 0.5000 0.5000  6 N 2.37-2.39
N 0.2287 0.3473 0.7282  1 Pa 2.37, 2 Nd 2.60, 2 La 2.61
N 0.2295 0.5000 0.2678  1 Pa 2.39, 2 La 2.60, 2 Nd 2.60



[3]
## Tb2PuRu (PBE-GGA)

Data for a relaxed Tb2PuRu crystal.

* calculated density: 10160 kg/m³
* E: -8.006 eV/atom
* energy above the lowest structure with this stoichiometry: 1.71 eV per formula unit
* energy of formation from the pure elements: 0.211 eV/atom

a b c (Å): 3.4344 3.4344 31.8219
angles (deg): 90.00 90.00 120.00
Last column: nearest neighbours and their distance in Å.
Space group R-3m (No. 166, hexagonal axes)
Unique sites:
Tb 0.0000 0.0000 0.1049  3 Ru 2.79
Pu 0.0000 0.0000 0.0000  2 Tb 3.34, 6 Pu 3.43
Ru 0.0000 0.0000 0.5000  6 Tb 2.79



[4]
## TlHgSb2 (PBE-GGA)

Data for a relaxed TlHgSb2 crystal.

* calculated density: 8714 kg/m³
* E: -2.660 eV/atom
* energy above the lowest structure with this stoichiometry: 0.11 eV per formula unit

a b c (Å): 11.7819 4.0129 5.7017
angles (deg): 90.00 113.53 90.00
Last column: nearest neighbours and their distance in Å.
Space group C2/m (No. 12)
Unique sites:
Tl 0.0000 0.0000 0.0000  4 Hg 3.49, 8 Sb 3.58-3.90
Hg 0.0000 0.5000 0.5000  4 Sb 3.21, 4 Tl 3.49
Sb 0.2321 0.0000 0.6685  2 Sb 2.92, 2 Hg 3.21



[5]
## BP (PBE-GGA)

Data for a relaxed BP crystal.

* calculated density: 2412 kg/m³
* E: -6.060 eV/atom
* energy of formation from the pure elements: -0.016 eV/atom

a b c (Å): 8.4643 8.4643 3.2118
angles (deg): 90.00 90.00 90.00
Last column: nearest neighbours and their distance in Å.
Space group P4/m (No. 83)
Unique sites:
B 0.0764 0.4233 0.0000  1 B 1.83, 3 P 1.93-1.95
B 0.1587 0.7350 0.5000  4 P 1.96-2.00
P 0.0760 0.2924 0.5000  4 B 1.95-2.00
P 0.2099 0.6075 0.0000  3 B 1.93-1.98



[6]
## PrGaNi4 (PBE-GGA)

Data for a relaxed PrGaNi4 crystal.

* calculated density: 8191 kg/m³
* E: -5.388 eV/atom
* energy of formation from the pure elements: -0.233 eV/atom

a b c (Å): 3.8710 15.1065 6.1765
angles (deg): 90.00 90.00 90.00
Last column: nearest neighbours and their distance in Å.
Space group Cmcm (No. 63)
Unique sites:
Pr 0.0000 0.1030 0.2500  9 Ni 2.76-2.92
Ga 0.0000 0.2345 0.7500  7 Ni 2.34-2.48
Ni 0.0000 0.0794 0.7500  1 Ga 2.34
Ni 0.0000 0.3316 0.0591  4 Ni 2.36-2.64, 3 Ga 2.41-2.48
Ni 0.0000 0.5000 0.0000  6 Ni 2.57-2.75



[7]
## PrO (PBE-GGA)

Data for a relaxed PrO crystal.

* calculated density: 6622 kg/m³
* E: -7.494 eV/atom
* energy above the lowest structure with this stoichiometry: 0.15 eV per formula unit

a b c (Å): 4.2091 7.2753 5.1398
angles (deg): 90.00 90.00 90.00
Last column: nearest neighbours and their distance in Å.
Space group Cmcm (No. 63)
Unique sites:
Pr 0.0000 0.1672 0.2500  5 O 2.43-2.57
O 0.0000 0.1666 0.7500  5 Pr 2.43-2.57



[8]
## KHfMg2Nb (PBE-GGA)

Data for a relaxed KHfMg2Nb crystal.

* calculated density: 5051 kg/m³
* E: -3.072 eV/atom
* energy of formation from the pure elements: 1.790 eV/atom

a b c (Å): 4.8867 4.8867 4.9436
angles (deg): 90.00 90.00 90.00
Last column: nearest neighbours and their distance in Å.
Space group P4/mmm (No. 123)
Unique sites:
K 0.0000 0.0000 0.0000  4 Mg 2.44, 2 Nb 2.47
Hf 0.5000 0.5000 0.5000  4 Nb 3.46, 8 Mg 3.48
Mg 0.0000 0.5000 0.0000  2 K 2.44
Nb 0.0000 0.0000 0.5000  2 K 2.47



[9]
## Tb2CCl (PBE-GGA)

Data for a relaxed Tb2CCl crystal.

* calculated density: 7598 kg/m³
* E: -6.164 eV/atom

a b c (Å): 3.6451 3.6451 20.8154
angles (deg): 90.00 90.00 120.00
Last column: nearest neighbours and their distance in Å.
Space group R3m (No. 160, hexagonal axes)
Unique sites:
Tb 0.0000 0.0000 0.0000  3 C 2.46
Tb 0.0000 0.0000 0.2080  3 C 2.49
C 0.0000 0.0000 0.6055  6 Tb 2.46-2.49
Cl 0.0000 0.0000 0.4360  6 Tb 3.00-3.04



[10]
## Nd3Sm2ErAs6 (PBE-GGA)

Data for a relaxed Nd3Sm2ErAs6 crystal.

* calculated density: 7021 kg/m³
* E: -6.196 eV/atom
* energy of formation from the pure elements: -1.513 eV/atom

a b c (Å): 18.3995 4.2249 8.4415
angles (deg): 90.00 103.26 90.00
Last column: nearest neighbours and their distance in Å.
Space group C2/m (No. 12)
Unique sites:
Nd 0.0000 0.0000 0.0000  6 As 3.00-3.03
Nd 0.1670 0.5000 0.3339  6 As 3.00-3.03
Sm 0.1660 0.5000 0.8324  6 As 2.97-2.98
Er 0.0000 0.0000 0.5000  6 As 2.93-2.94
As 0.9996 0.5000 0.2578  2 Er 2.94, 1 Sm 2.97, 3 Nd 3.00-3.03
As 0.1637 0.0000 0.5840  1 Er 2.93, 2 Sm 2.97, 3 Nd 3.00-3.03
As 0.1675 0.0000 0.0815  3 Sm 2.98, 3 Nd 3.00



[11]
## AsHRhI2 (PBE-GGA)

Data for a relaxed AsHRhI2 crystal.

* calculated density: 7279 kg/m³
* E: -2.895 eV/atom

a b c (Å): 5.2544 5.2544 3.5749
angles (deg): 90.00 90.00 90.00
Last column: nearest neighbours and their distance in Å.
Space group P4/mmm (No. 123)
Unique sites:
As 0.0000 0.0000 0.0000  2 H 1.79
H 0.0000 0.0000 0.5000  2 As 1.79
Rh 0.5000 0.5000 0.0000  8 I 3.18
I 0.0000 0.5000 0.5000  2 H 2.63



[12]
## Sr2MgTa (PBE-GGA)

Data for a relaxed Sr2MgTa crystal.

* calculated density: 5028 kg/m³
* E: -3.503 eV/atom
* energy of formation from the pure elements: 0.700 eV/atom

a b c (Å): 3.4838 5.9021 12.2227
angles (deg): 90.00 90.00 90.00
Last column: nearest neighbours and their distance in Å.
Space group Imm2 (No. 44)
Unique sites:
Sr 0.0000 0.0000 0.0000  4 Sr 3.48-3.86, 4 Mg 3.50, 2 Ta 3.54
Sr 0.0000 0.5000 0.2033  4 Ta 3.48, 4 Sr 3.48-3.86, 2 Mg 3.65
Mg 0.0000 0.0000 0.4406  2 Ta 2.89
Ta 0.0000 0.5000 0.7517  2 Mg 2.89



[13]
## La2TlRh2 (PBE-GGA)

Data for a relaxed La2TlRh2 crystal.

* calculated density: 8742 kg/m³
* E: -5.908 eV/atom
* energy of formation from the pure elements: -0.523 eV/atom

a b c (Å): 5.6121 5.6121 8.2986
angles (deg): 90.00 90.00 90.00
Last column: nearest neighbours and their distance in Å.
Space group I4/mmm (No. 139)
Unique sites:
La 0.0000 0.5000 0.2500  4 Rh 2.89
Tl 0.0000 0.0000 0.0000  2 Rh 2.76
Rh 0.0000 0.0000 0.3321  1 Tl 2.76, 1 Rh 2.79, 4 La 2.89



[14]
## Hf3Ti2Al (PBE-GGA)

Data for a relaxed Hf3Ti2Al crystal.

* calculated density: 9295 kg/m³
* E: -8.304 eV/atom
* energy above the lowest structure with this stoichiometry: 0.29 eV per formula unit
* energy of formation from the pure elements: -0.072 eV/atom

a b c (Å): 3.0722 3.0722 12.4579
angles (deg): 90.00 90.00 90.00
Last column: nearest neighbours and their distance in Å.
Space group P4/mmm (No. 123)
Unique sites:
Hf 0.0000 0.0000 0.0000  8 Ti 3.03, 4 Hf 3.07
Hf 0.0000 0.0000 0.3368  4 Al 2.98, 4 Ti 3.01, 4 Hf 3.07
Ti 0.5000 0.5000 0.1695  8 Hf 3.01-3.03, 4 Ti 3.07
Al 0.5000 0.5000 0.5000  8 Hf 2.98, 4 Al 3.07



[15]
## Cs4CdH5 (PBE-GGA)

Data for a relaxed Cs4CdH5 crystal.

* calculated density: 3811 kg/m³
* E: -2.134 eV/atom

a b c (Å): 9.5370 9.5370 6.2181
angles (deg): 90.00 90.00 90.00
Last column: nearest neighbours and their distance in Å.
Space group I4 (No. 79)
Unique sites:
Cs 0.1262 0.7152 0.0000  5 H 2.99-3.31
Cd 0.0000 0.0000 0.5502  5 H 1.94-2.08
H 0.0000 0.0000 0.8614  1 Cd 1.94
H 0.0603 0.7934 0.4919  1 Cd 2.08



[16]
## Tb4Cd3Ag (PBE-GGA)

Data for a relaxed Tb4Cd3Ag crystal.

* calculated density: 8640 kg/m³
* E: -3.330 eV/atom
* energy above the lowest structure with this stoichiometry: 0.00 eV per formula unit
* energy of formation from the pure elements: -0.316 eV/atom

a b c (Å): 3.7192 3.7192 15.0182
angles (deg): 90.00 90.00 90.00
Last column: nearest neighbours and their distance in Å.
Space group P4/mmm (No. 123)
Unique sites:
Tb 0.0000 0.0000 0.1189  4 Ag 3.18, 4 Cd 3.27
Tb 0.0000 0.0000 0.3730  8 Cd 3.23-3.25
Cd 0.5000 0.5000 0.2479  8 Tb 3.23-3.27
Cd 0.5000 0.5000 0.5000  8 Tb 3.25
Ag 0.5000 0.5000 0.0000  8 Tb 3.18



[17]
## PmCl2F (PBE-GGA)

Data for a relaxed PmCl2F crystal.

* calculated density: 4636 kg/m³
* E: -5.177 eV/atom
* energy above the lowest structure with this stoichiometry: 1.18 eV per formula unit

a b c (Å): 8.4063 8.5367 9.3788
angles (deg): 90.00 90.00 90.00
Last column: nearest neighbours and their distance in Å.
Space group Fmmm (No. 69)
Unique sites:
Pm 0.0000 0.2137 0.0000  2 F 2.24
Cl 0.1816 0.0000 0.5000  2 Pm 2.88, 2 F 2.98, 5 Cl 3.05-3.22
Cl 0.2500 0.2500 0.2500  4 Pm 3.16, 4 F 3.17, 4 Cl 3.22
F 0.0000 0.0000 0.1393  2 Pm 2.24



[18]
## LaTiMn3 (PBE-GGA)

Data for a relaxed LaTiMn3 crystal.

* calculated density: 5664 kg/m³
* E: -7.503 eV/atom
* energy above the lowest structure with this stoichiometry: 0.00 eV per formula unit
* energy of formation from the pure elements: 0.564 eV/atom

a b c (Å): 4.6888 4.6888 4.6888
angles (deg): 90.00 90.00 90.00
Last column: nearest neighbours and their distance in Å.
Space group Pm-3m (No. 221)
Unique sites:
La 0.0000 0.0000 0.0000  12 Mn 3.32
Ti 0.5000 0.5000 0.5000  6 Mn 2.34
Mn 0.0000 0.5000 0.5000  2 Ti 2.34



[19]
## CoSb2IBr (PBE-GGA)

Data for a relaxed CoSb2IBr crystal.

* calculated density: 6355 kg/m³
* E: -3.460 eV/atom
* energy above the lowest structure with this stoichiometry: 0.00 eV per formula unit

a b c (Å): 5.0074 5.0074 5.3070
angles (deg): 90.00 90.00 90.00
Last column: nearest neighbours and their distance in Å.
Space group P4/mmm (No. 123)
Unique sites:
Co 0.0000 0.0000 0.0000  4 Sb 2.50, 2 I 2.65
Sb 0.0000 0.5000 0.0000  2 Co 2.50
I 0.0000 0.0000 0.5000  2 Co 2.65
Br 0.5000 0.5000 0.5000  4 I 3.54, 8 Sb 3.65



[20]
## YSnTeI2 (PBE-GGA)

Data for a relaxed YSnTeI2 crystal.

* calculated density: 4650 kg/m³
* E: -3.819 eV/atom
* energy above the lowest structure with this stoichiometry: 0.00 eV per formula unit

a b c (Å): 5.9303 5.9303 5.9812
angles (deg): 90.00 90.00 90.00
Last column: nearest neighbours and their distance in Å.
Space group P4/mmm (No. 123)
Unique sites:
Y 0.0000 0.0000 0.0000  4 I 2.97, 2 Te 2.99
Sn 0.5000 0.5000 0.5000  4 Te 4.19, 8 I 4.21
Te 0.0000 0.0000 0.5000  2 Y 2.99
I 0.0000 0.5000 0.0000  2 Y 2.97



[21]
## TaGaMoRh (PBE-GGA)

Data for a relaxed TaGaMoRh crystal.

* calculated density: 11915 kg/m³
* E: -8.531 eV/atom
* energy of formation from the pure elements: -0.265 eV/atom

a b c (Å): 6.3046 6.3046 6.3046
angles (deg): 90.00 90.00 90.00
Last column: nearest neighbours and their distance in Å.
Space group F-43m (No. 216)
Unique sites:
Ta 0.0000 0.0000 0.0000  4 Rh 2.73, 4 Mo 2.73
Ga 0.0000 0.0000 0.5000  4 Mo 2.73, 4 Rh 2.73
Mo 0.2500 0.2500 0.2500  4 Ta 2.73, 4 Ga 2.73
Rh 0.2500 0.2500 0.7500  4 Ta 2.73, 4 Ga 2.73



[22]
## HgPb12Au6 (PBE-GGA)

Data for a relaxed HgPb12Au6 crystal.

* calculated density: 10930 kg/m³
* E: -3.403 eV/atom
* energy of formation from the pure elements: -0.010 eV/atom

a b c (Å): 13.1040 13.1040 11.8572
angles (deg): 90.00 90.00 120.00
Last column: nearest neighbours and their distance in Å.
Space group R-3 (No. 148, hexagonal axes)
Unique sites:
Hg 0.0000 0.0000 0.0000  6 Pb 3.03
Pb 0.0362 0.2175 0.3933  4 Au 2.92-3.04
Pb 0.0460 0.2265 0.8879  2 Au 2.88-2.92, 1 Hg 3.03
Au 0.0460 0.2582 0.6446  6 Pb 2.88-3.04



[23]
## SrFeI2 (PBE-GGA)

Data for a relaxed SrFeI2 crystal.

* calculated density: 4457 kg/m³
* E: -3.527 eV/atom
* energy above the lowest structure with this stoichiometry: 0.08 eV per formula unit

a b c (Å): 6.6018 6.6018 13.5840
angles (deg): 90.00 90.00 90.00
Last column: nearest neighbours and their distance in Å.
Space group I-42d (No. 122)
Unique sites:
Sr 0.0000 0.0000 0.0000  4 I 3.22
Fe 0.0000 0.0000 0.5000  4 I 2.62
I 0.1685 0.2500 0.6250  2 Fe 2.62



[24]
## Tc2IrBr (PBE-GGA)

Data for a relaxed Tc2IrBr crystal.

* calculated density: 11538 kg/m³
* E: -7.146 eV/atom
* energy above the lowest structure with this stoichiometry: 0.75 eV per formula unit

a b c (Å): 2.8675 3.7926 6.1947
angles (deg): 90.00 90.00 90.00
Last column: nearest neighbours and their distance in Å.
Space group Pmm2 (No. 25)
Unique sites:
Tc 0.0000 0.0000 0.0000  1 Br 2.63, 6 Tc 2.68-2.87, 4 Ir 2.73
Tc 0.5000 0.5000 0.1989  1 Ir 2.57, 6 Tc 2.68-2.87, 4 Br 2.76
Ir 0.5000 0.5000 0.7838  5 Tc 2.57-2.73, 2 Ir 2.87
Br 0.0000 0.0000 0.4247  5 Tc 2.63-2.76, 2 Br 2.87



[25]
## CdGa2Sn (PBE-GGA)

Data for a relaxed CdGa2Sn crystal.

* calculated density: 6865 kg/m³
* E: -2.670 eV/atom
* energy above the lowest structure with this stoichiometry: 0.11 eV per formula unit
* energy of formation from the pure elements: 0.073 eV/atom

a b c (Å): 4.5200 4.5200 4.3872
angles (deg): 90.00 90.00 90.00
Last column: nearest neighbours and their distance in Å.
Space group P4/mmm (No. 123)
Unique sites:
Cd 0.0000 0.0000 0.0000  8 Ga 3.15, 4 Sn 3.20
Ga 0.0000 0.5000 0.5000  4 Cd 3.15, 4 Sn 3.15, 4 Ga 3.20
Sn 0.5000 0.5000 0.0000  8 Ga 3.15, 4 Cd 3.20